This record from the Alexandria database describes a relaxed Pr12Ru5Pb crystal. The functional is GGA-PBE.

a b c (Å): 8.769 8.769 8.769
angles (deg): 112.48 110.56 105.45
Element x y z (fractional)
Pr 0.034 0.223 0.811
Pr 0.180 0.282 0.461
Pr 0.180 0.718 0.898
Pr 0.327 0.011 0.685
Pr 0.327 0.642 0.315
Pr 0.412 0.223 0.189
Pr 0.588 0.777 0.811
Pr 0.673 0.358 0.685
Pr 0.673 0.989 0.315
Pr 0.820 0.282 0.102
Pr 0.820 0.718 0.539
Pr 0.966 0.777 0.189
Ru 0.000 0.000 0.000
Ru 0.121 0.621 0.500
Ru 0.335 0.000 0.335
Ru 0.665 0.000 0.665
Ru 0.879 0.379 0.500
Pb 0.500 0.500 0.000

DOS at the Fermi energy in states/eV/cell: 16.7
Calculated total energy in eV/atom: -6.19
DFT formation energy in eV/atom: -0.2215


This record from the Alexandria database describes a relaxed CoHg8 crystal. The functional is GGA-PBE.

a b c (Å): 8.806 8.806 8.806
angles (deg): 91.62 91.62 160.66
Element x y z (fractional)
Co 0.000 0.000 0.000
Hg 0.000 0.333 0.333
Hg 0.000 0.667 0.667
Hg 0.333 0.000 0.333
Hg 0.360 0.360 0.721
Hg 0.360 0.640 0.000
Hg 0.640 0.360 0.000
Hg 0.640 0.640 0.279
Hg 0.667 0.000 0.667

DOS at the Fermi energy in states/eV/cell: 4.8
Calculated total energy in eV/atom: -0.82
DFT formation energy in eV/atom: 0.2357


This record from the Alexandria database describes a relaxed Rb2Sn2Hg crystal. The functional is GGA-PBE.

a b c (Å): 10.913 10.913 3.611
angles (deg): 90.00 90.00 90.00
Element x y z (fractional)
Rb 0.202 0.298 0.000
Rb 0.298 0.798 0.000
Rb 0.702 0.202 0.000
Rb 0.798 0.702 0.000
Sn 0.090 0.590 0.500
Sn 0.410 0.090 0.500
Sn 0.590 0.910 0.500
Sn 0.910 0.410 0.500
Hg 0.000 0.000 0.000
Hg 0.500 0.500 0.000

DOS at the Fermi energy in states/eV/cell: 5.5
Calculated total energy in eV/atom: -2.09
Polymorph energy (0 for the lowest one) in meV per atom: 94
DFT formation energy in eV/atom: -0.0374


This record from the Alexandria database describes a relaxed NaSb2As2 crystal. The functional is GGA-PBE.

a b c (Å): 8.539 8.539 3.793
angles (deg): 90.00 90.00 90.00
Element x y z (fractional)
Na 0.000 0.000 0.000
Na 0.500 0.500 0.000
Sb 0.152 0.348 0.000
Sb 0.348 0.848 0.000
Sb 0.652 0.152 0.000
Sb 0.848 0.652 0.000
As 0.193 0.693 0.500
As 0.307 0.193 0.500
As 0.693 0.807 0.500
As 0.807 0.307 0.500

Formation energy from raw total energies in meV per atom: 50
DOS at the Fermi energy in states/eV/cell: 5.3
Calculated total energy in eV/atom: -3.72
Polymorph energy (0 for the lowest one) in meV per atom: 77


This record from the Alexandria database describes a relaxed Cs2PrZn2Te4 crystal. The functional is GGA-PBE.

a b c (Å): 8.802 8.802 8.849
angles (deg): 108.03 108.03 31.88
Element x y z (fractional)
Cs 0.134 0.134 0.063
Cs 0.866 0.866 0.937
Pr 0.000 0.000 0.500
Zn 0.326 0.326 0.504
Zn 0.674 0.674 0.496
Te 0.201 0.201 0.656
Te 0.482 0.482 0.732
Te 0.518 0.518 0.268
Te 0.799 0.799 0.344

Formation energy from raw total energies in meV per atom: -899
DOS at the Fermi energy in states/eV/cell: 3.6
Calculated total energy in eV/atom: -3.30


This record from the Alexandria database describes a relaxed Na5La3H12 crystal. The functional is GGA-PBE.

a b c (Å): 11.620 11.620 11.620
angles (deg): 109.47 109.47 109.47
Element x y z (fractional)
Na 0.000 0.000 0.000
Na 0.000 0.000 0.500
Na 0.000 0.500 0.000
Na 0.000 0.500 0.500
Na 0.125 0.750 0.875
Na 0.125 0.875 0.250
Na 0.250 0.125 0.875
Na 0.250 0.625 0.375
Na 0.375 0.250 0.625
Na 0.375 0.625 0.750
Na 0.500 0.000 0.000
Na 0.500 0.000 0.500
Na 0.500 0.500 0.000
Na 0.500 0.500 0.500
Na 0.625 0.375 0.250
Na 0.625 0.750 0.375
Na 0.750 0.375 0.625
Na 0.750 0.875 0.125
Na 0.875 0.125 0.750
Na 0.875 0.250 0.125
La 0.125 0.250 0.375
La 0.125 0.375 0.750
La 0.250 0.375 0.125
La 0.250 0.875 0.625
La 0.375 0.125 0.250
La 0.375 0.750 0.125
La 0.625 0.250 0.875
La 0.625 0.875 0.750
La 0.750 0.125 0.375
La 0.750 0.625 0.875
La 0.875 0.625 0.250
La 0.875 0.750 0.625
H 0.056 0.229 0.142
H 0.056 0.327 0.914
H 0.086 0.642 0.413
H 0.086 0.944 0.673
H 0.087 0.729 0.673
H 0.087 0.858 0.414
H 0.142 0.056 0.229
H 0.142 0.586 0.913
H 0.173 0.229 0.587
H 0.173 0.444 0.586
H 0.229 0.142 0.056
H 0.229 0.587 0.173
H 0.271 0.327 0.913
H 0.271 0.444 0.358
H 0.327 0.913 0.271
H 0.327 0.914 0.056
H 0.358 0.271 0.444
H 0.358 0.587 0.914
H 0.413 0.086 0.642
H 0.413 0.827 0.771
H 0.414 0.087 0.858
H 0.414 0.827 0.556
H 0.444 0.358 0.271
H 0.444 0.586 0.173
H 0.556 0.414 0.827
H 0.556 0.642 0.729
H 0.586 0.173 0.444
H 0.586 0.913 0.142
H 0.587 0.173 0.229
H 0.587 0.914 0.358
H 0.642 0.413 0.086
H 0.642 0.729 0.556
H 0.673 0.086 0.944
H 0.673 0.087 0.729
H 0.729 0.556 0.642
H 0.729 0.673 0.087
H 0.771 0.413 0.827
H 0.771 0.858 0.944
H 0.827 0.556 0.414
H 0.827 0.771 0.413
H 0.858 0.414 0.087
H 0.858 0.944 0.771
H 0.913 0.142 0.586
H 0.913 0.271 0.327
H 0.914 0.056 0.327
H 0.914 0.358 0.587
H 0.944 0.673 0.086
H 0.944 0.771 0.858

DOS at the Fermi energy in states/eV/cell: 26.0
Calculated total energy in eV/atom: -3.39


This record from the Alexandria database describes a relaxed Cs2PtBr6Cl crystal. The functional is GGA-PBE.

a b c (Å): 8.036 8.036 8.036
angles (deg): 122.79 122.79 85.24
Element x y z (fractional)
Cs 0.250 0.750 0.500
Cs 0.750 0.250 0.500
Pt 0.000 0.000 0.000
Br 0.211 0.211 0.000
Br 0.234 0.234 0.467
Br 0.234 0.766 0.000
Br 0.766 0.234 0.000
Br 0.766 0.766 0.533
Br 0.789 0.789 0.000
Cl 0.500 0.500 0.000

Formation energy from raw total energies in meV per atom: -866
DOS at the Fermi energy in states/eV/cell: 5.2
Calculated total energy in eV/atom: -2.83


This record from the Alexandria database describes a relaxed BiS2NO crystal. The functional is GGA-PBE.

a b c (Å): 4.194 4.194 4.271
angles (deg): 90.00 90.00 90.00
Element x y z (fractional)
Bi 0.000 0.000 0.000
S 0.000 0.500 0.500
S 0.500 0.000 0.500
N 0.500 0.500 0.000
O 0.500 0.500 0.500

Formation energy from raw total energies in meV per atom: 1124
DOS at the Fermi energy in states/eV/cell: 2.2
Calculated total energy in eV/atom: -3.96
Polymorph energy (0 for the lowest one) in meV per atom: 0


This record from the Alexandria database describes a relaxed SrHoMg crystal. The functional is GGA-PBE.

a b c (Å): 5.762 5.762 3.523
angles (deg): 90.00 90.00 120.00
Element x y z (fractional)
Sr 0.000 0.000 0.000
Ho 0.667 0.333 0.384
Mg 0.333 0.667 0.680

DOS at the Fermi energy in states/eV/cell: 3.5
Calculated total energy in eV/atom: -2.43
Polymorph energy (0 for the lowest one) in meV per atom: 147
DFT formation energy in eV/atom: 0.1880


This record from the Alexandria database describes a relaxed ZrAs2Se crystal. The functional is GGA-PBE.

a b c (Å): 5.799 7.588 3.553
angles (deg): 90.00 90.00 90.00
Element x y z (fractional)
Zr 0.000 0.000 0.000
Zr 0.500 0.500 0.000
As 0.250 0.250 0.500
As 0.250 0.750 0.500
As 0.750 0.250 0.500
As 0.750 0.750 0.500
Se 0.000 0.500 0.000
Se 0.500 0.000 0.000

Formation energy from raw total energies in meV per atom: -218
DOS at the Fermi energy in states/eV/cell: 4.0
Calculated total energy in eV/atom: -5.55


This record from the Alexandria database describes a relaxed KTlPb3 crystal. The functional is GGA-PBE.

a b c (Å): 7.099 7.063 8.181
angles (deg): 90.00 114.94 90.00
Element x y z (fractional)
K 0.000 0.000 0.000
K 0.500 0.500 0.000
Tl 0.384 0.000 0.776
Tl 0.884 0.500 0.776
Pb 0.112 0.500 0.219
Pb 0.497 0.250 0.494
Pb 0.497 0.750 0.494
Pb 0.612 0.000 0.219
Pb 0.997 0.250 0.494
Pb 0.997 0.750 0.494

DOS at the Fermi energy in states/eV/cell: 4.6
Calculated total energy in eV/atom: -2.99
Polymorph energy (0 for the lowest one) in meV per atom: 0
DFT formation energy in eV/atom: -0.0709


This record from the Alexandria database describes a relaxed BaHgSe2 crystal. The functional is GGA-PBE.

a b c (Å): 7.581 6.759 7.500
angles (deg): 63.99 53.25 62.76
Element x y z (fractional)
Ba 0.000 0.000 0.000
Ba 0.250 0.250 0.250
Hg 0.583 0.583 0.417
Hg 0.833 0.833 0.667
Se 0.253 0.718 0.302
Se 0.523 0.948 0.532
Se 0.718 0.253 0.727
Se 0.948 0.523 0.997

Formation energy from raw total energies in meV per atom: -1049
DOS at the Fermi energy in states/eV/cell: 0.0
Calculated total energy in eV/atom: -3.35